Model one:
! Pr2DyPb, optimized geometry, DFT PBE; values from VASP
! - Calculated volume: 140.5 Å³/cell
! - Fermi-level density of states: 4.07 states/eV/f.u.
! - Total moment: 0.00 μB per formula unit
&SYSTEM
  ibrav = 0, nat = 4, ntyp = 3
/
ATOMIC_SPECIES
Pr 140.91 Pr.upf
Pb 207.20 Pb.upf
Dy 162.50 Dy.upf
ATOMIC_POSITIONS crystal
Pr 0.0884 0.0884 0.7349
Pb 0.0000 0.0000 0.0000
Dy 0.5000 0.5000 0.5000
Pr 0.9116 0.9116 0.2651
CELL_PARAMETERS angstrom
-2.8169 -0.8716 2.0962
-1.7791 -3.1004 -0.5579
6.1039 -7.1188 8.3647



Model two:
! Pr2DyPb, optimized geometry, DFT PBE; values from VASP
! - Calculated volume: 133.3 Å³/cell
! - Fermi-level density of states: 4.76 states/eV/f.u.
! - Total moment: 0.10 μB per formula unit
&SYSTEM
  ibrav = 0, nat = 4, ntyp = 3
/
ATOMIC_SPECIES
Dy 162.50 Dy.upf
Pr 140.91 Pr.upf
Pb 207.20 Pb.upf
ATOMIC_POSITIONS crystal
Dy 0.5001 0.5001 0.4996
Pr 0.2522 0.2522 0.2435
Pr 0.0813 0.0813 0.7560
Pb 0.6664 0.6664 0.0009
CELL_PARAMETERS angstrom
-0.4045 -3.5687 0.8056
2.7134 -2.3735 -0.7431
5.1877 -0.1557 10.3235



Which is the most stable structure? model two is the most stable.



Model one:
! Pr2DyPb, optimized geometry, DFT PBE; values from VASP
! - Calculated volume: 126.3 Å³/cell
! - Fermi-level density of states: 7.74 states/eV/f.u.
! - Total moment: 0.00 μB per formula unit
&SYSTEM
  ibrav = 0, nat = 4, ntyp = 3
/
ATOMIC_SPECIES
Dy 162.50 Dy.upf
Pb 207.20 Pb.upf
Pr 140.91 Pr.upf
ATOMIC_POSITIONS crystal
Dy 0.5000 0.5000 0.5000
Pb 0.0000 0.0000 0.0000
Pr 0.2500 0.2500 0.2500
Pr 0.7500 0.7500 0.7500
CELL_PARAMETERS angstrom
5.6314 0.0000 0.0000
2.8157 4.8770 0.0000
2.8157 1.6257 4.5981



Model two:
! Pr2DyPb, optimized geometry, DFT PBE; values from VASP
! - Calculated volume: 123.4 Å³/cell
! - Fermi-level density of states: 4.29 states/eV/f.u.
! - Total moment: 0.00 μB per formula unit
&SYSTEM
  ibrav = 0, nat = 4, ntyp = 3
/
ATOMIC_SPECIES
Pb 207.20 Pb.upf
Pr 140.91 Pr.upf
Dy 162.50 Dy.upf
ATOMIC_POSITIONS crystal
Pb 0.5000 0.0000 0.0000
Pr 0.0000 0.5000 0.0000
Pr 0.0000 0.0000 0.5000
Dy 0.5000 0.5000 0.5000
CELL_PARAMETERS angstrom
5.0458 0.0000 0.0000
0.0000 4.9461 0.0000
0.0000 0.0000 4.9461



Model three:
! Pr2DyPb, optimized geometry, DFT PBE; values from VASP
! - Calculated volume: 276.6 Å³/cell
! - Fermi-level density of states: 5.29 states/eV/f.u.
! - Total moment: 0.00 μB per formula unit
&SYSTEM
  ibrav = 0, nat = 8, ntyp = 3
/
ATOMIC_SPECIES
Pr 140.91 Pr.upf
Dy 162.50 Dy.upf
Pb 207.20 Pb.upf
ATOMIC_POSITIONS crystal
Pr 0.0926 0.7500 0.1853
Pr 0.1845 0.2500 0.3690
Pr 0.8155 0.7500 0.6310
Dy 0.0284 0.2500 0.0568
Pb 0.6969 0.7500 0.3937
Dy 0.9716 0.7500 0.9432
Pr 0.9074 0.2500 0.8147
Pb 0.3031 0.2500 0.6063
CELL_PARAMETERS angstrom
-0.9300 -2.5137 2.2503
3.7014 -3.6457 -2.5427
10.3162 5.2827 7.4432



Which is the most stable structure? model two is the most stable.



Model one:
! PrDy2Pb, optimized geometry, DFT PBE; values from VASP
! - Calculated volume: 257.5 Å³/cell
! - Fermi-level density of states: 5.24 states/eV/f.u.
! - Total moment: 0.00 μB per formula unit
&SYSTEM
  ibrav = 0, nat = 8, ntyp = 3
/
ATOMIC_SPECIES
Pr 140.91 Pr.upf
Dy 162.50 Dy.upf
Pb 207.20 Pb.upf
ATOMIC_POSITIONS crystal
Pr 0.7500 0.6912 0.3842
Dy 0.7500 0.4433 0.8869
Dy 0.7500 0.0618 0.1237
Pb 0.2500 0.1620 0.3268
Dy 0.2500 0.5567 0.1131
Pb 0.7500 0.8380 0.6732
Dy 0.2500 0.9382 0.8763
Pr 0.2500 0.3088 0.6158
CELL_PARAMETERS angstrom
-3.8060 -1.9542 2.1184
2.7533 -3.3810 1.8278
0.4447 8.1465 8.3139



Model two:
! PrDy2Pb, optimized geometry, DFT PBE; values from VASP
! - Calculated volume: 125.2 Å³/cell
! - Fermi-level density of states: 4.84 states/eV/f.u.
! - Total moment: 0.00 μB per formula unit
&SYSTEM
  ibrav = 0, nat = 4, ntyp = 3
/
ATOMIC_SPECIES
Pr 140.91 Pr.upf
Dy 162.50 Dy.upf
Pb 207.20 Pb.upf
ATOMIC_POSITIONS crystal
Pr 0.5000 0.5000 0.5000
Dy 0.0000 0.0000 0.7714
Dy 0.0000 0.0000 0.2286
Pb 0.5000 0.5000 0.0000
CELL_PARAMETERS angstrom
-3.6393 -0.1484 -0.1722
0.1736 -3.5977 -0.5681
-0.3790 -1.4859 9.2931



Which is the most stable structure? model one is the most stable.



Model one:
! PrDy2Pb, optimized geometry, DFT PBE; values from VASP
! - Calculated volume: 126.8 Å³/cell
! - Fermi-level density of states: 3.44 states/eV/f.u.
! - Total moment: 0.00 μB per formula unit
&SYSTEM
  ibrav = 0, nat = 4, ntyp = 3
/
ATOMIC_SPECIES
Dy 162.50 Dy.upf
Pb 207.20 Pb.upf
Pr 140.91 Pr.upf
ATOMIC_POSITIONS crystal
Dy 0.0782 0.0782 0.7653
Dy 0.2553 0.2553 0.2341
Pb 0.6665 0.6665 0.0004
Pr 0.4999 0.4999 0.5003
CELL_PARAMETERS angstrom
3.6276 0.0000 0.0000
1.8138 3.1416 0.0000
1.8138 1.0472 11.1265



Model two:
! PrDy2Pb, optimized geometry, DFT PBE; values from VASP
! - Calculated volume: 134.0 Å³/cell
! - Fermi-level density of states: 3.96 states/eV/f.u.
! - Total moment: 0.00 μB per formula unit
&SYSTEM
  ibrav = 0, nat = 4, ntyp = 3
/
ATOMIC_SPECIES
Pb 207.20 Pb.upf
Dy 162.50 Dy.upf
Pr 140.91 Pr.upf
ATOMIC_POSITIONS crystal
Pb 0.0000 0.0000 0.0000
Dy 0.9130 0.9130 0.2610
Dy 0.0870 0.0870 0.7390
Pr 0.5000 0.5000 0.5000
CELL_PARAMETERS angstrom
-1.7741 -2.1984 2.1823
1.7477 -1.7604 2.5670
-1.9906 7.8852 9.2448



Model three:
! PrDy2Pb, optimized geometry, DFT PBE; values from VASP
! - Calculated volume: 119.1 Å³/cell
! - Fermi-level density of states: 5.99 states/eV/f.u.
! - Total moment: 0.01 μB per formula unit
&SYSTEM
  ibrav = 0, nat = 4, ntyp = 3
/
ATOMIC_SPECIES
Dy 162.50 Dy.upf
Pr 140.91 Pr.upf
Pb 207.20 Pb.upf
ATOMIC_POSITIONS crystal
Dy 0.0000 0.5000 0.0000
Pr 0.5000 0.5000 0.5000
Dy 0.0000 0.0000 0.5000
Pb 0.5000 0.0000 0.0000
CELL_PARAMETERS angstrom
4.8860 0.0000 0.0000
0.0000 4.9376 0.0000
0.0000 0.0000 4.9376



Which is the most stable structure? model three is the most stable.



Model one:
! Pr2DyPb3, optimized geometry, DFT PBE; values from VASP
! - Calculated volume: 376.2 Å³/cell
! - Fermi-level density of states: 5.24 states/eV/f.u.
! - Total moment: 0.00 μB per formula unit
&SYSTEM
  ibrav = 0, nat = 12, ntyp = 3
/
ATOMIC_SPECIES
Pr 140.91 Pr.upf
Pb 207.20 Pb.upf
Dy 162.50 Dy.upf
ATOMIC_POSITIONS crystal
Pr 0.7500 0.0820 0.9180
Pr 0.7500 0.7530 0.2470
Pb 0.0000 0.5000 0.0000
Pb 0.4927 0.3387 0.1774
Pb 0.9927 0.1774 0.3387
Dy 0.7500 0.4152 0.5848
Dy 0.2500 0.5848 0.4152
Pr 0.2500 0.2470 0.7530
Pb 0.5073 0.6613 0.8226
Pb 0.0073 0.8226 0.6613
Pr 0.2500 0.9180 0.0820
Pb 0.5000 0.0000 0.5000
CELL_PARAMETERS angstrom
5.8830 -0.3152 -0.5429
-1.6681 8.6346 0.2161
-1.6681 -4.0929 7.6060



Model two:
! Pr2DyPb3, optimized geometry, DFT PBE; values from VASP
! - Calculated volume: 358.0 Å³/cell
! - Fermi-level density of states: 5.08 states/eV/f.u.
! - Total moment: 0.01 μB per formula unit
&SYSTEM
  ibrav = 0, nat = 12, ntyp = 3
/
ATOMIC_SPECIES
Pr 140.91 Pr.upf
Pb 207.20 Pb.upf
Dy 162.50 Dy.upf
ATOMIC_POSITIONS crystal
Pr 0.6667 0.6665 0.5000
Pr 0.0000 0.0000 0.0000
Pb 0.1685 0.6631 0.2440
Pb 0.5000 0.0000 0.2449
Dy 0.6684 0.6633 0.0000
Dy 0.3316 0.3367 0.0000
Pb 0.8315 0.3369 0.7560
Pb 0.5000 0.0000 0.7551
Pb 0.1684 0.6631 0.7560
Pr 0.0000 0.0000 0.5000
Pr 0.3333 0.3335 0.5000
Pb 0.8316 0.3369 0.2440
CELL_PARAMETERS angstrom
5.0499 0.0000 0.0216
2.5249 7.7053 0.0108
-0.0393 0.0000 9.2009



Which is the most stable structure? model two is the most stable.



Model one:
! Dy2PuPb, optimized geometry, DFT PBE; values from VASP
! - Calculated volume: 117.5 Å³/cell
! - Fermi-level density of states: 10.28 states/eV/f.u.
! - Total moment: 6.10 μB per formula unit
&SYSTEM
  ibrav = 0, nat = 4, ntyp = 3
/
ATOMIC_SPECIES
Dy 162.50 Dy.upf
Pb 207.20 Pb.upf
Pu 244.00 Pu.upf
ATOMIC_POSITIONS crystal
Dy 0.2514 0.2514 0.2459
Pb 0.0000 0.0000 0.0000
Dy 0.7486 0.7486 0.7541
Pu 0.5000 0.5000 0.5000
CELL_PARAMETERS angstrom
-1.1278 -2.0356 -2.6399
-1.1531 -3.2588 0.6598
-10.9221 2.1057 0.6966



Model two:
! Dy2PuPb, optimized geometry, DFT PBE; values from VASP
! - Calculated volume: 112.7 Å³/cell
! - Fermi-level density of states: 12.06 states/eV/f.u.
! - Total moment: 6.96 μB per formula unit
&SYSTEM
  ibrav = 0, nat = 4, ntyp = 3
/
ATOMIC_SPECIES
Dy 162.50 Dy.upf
Pb 207.20 Pb.upf
Pu 244.00 Pu.upf
ATOMIC_POSITIONS crystal
Dy 0.0000 0.5000 0.0000
Pb 0.5000 0.0000 0.0000
Dy 0.0000 0.0000 0.5000
Pu 0.5000 0.5000 0.5000
CELL_PARAMETERS angstrom
-1.4146 -4.3965 -0.3737
1.7464 -0.1701 -4.6091
4.3596 -1.5480 1.7090



Model three:
! Dy2PuPb, optimized geometry, DFT PBE; values from VASP
! - Calculated volume: 115.9 Å³/cell
! - Fermi-level density of states: 8.52 states/eV/f.u.
! - Total moment: 6.17 μB per formula unit
&SYSTEM
  ibrav = 0, nat = 4, ntyp = 3
/
ATOMIC_SPECIES
Dy 162.50 Dy.upf
Pu 244.00 Pu.upf
Pb 207.20 Pb.upf
ATOMIC_POSITIONS crystal
Dy 0.0000 0.0000 0.7600
Dy 0.0000 0.0000 0.2400
Pu 0.5000 0.5000 0.5000
Pb 0.5000 0.5000 0.0000
CELL_PARAMETERS angstrom
-2.1519 -2.8377 -0.1597
0.4892 -0.1724 -3.5270
7.1622 -5.5025 1.2623



Which is the most stable structure? model two is the most stable.